Entry from the Open Quantum Materials Database: YZn2 after structural relaxation (PBE).

Summary:
Formation enthalpy at 0 K, eV per atom: -0.3386

Cell lengths 5.5068, 5.5068, 8.7324 Å; angles 90.00, 90.00, 120.00 degrees
Space group P6_3/mmc (No. 194)
Inequivalent atoms, fractional coordinates:
Y 0.3333 0.6667 0.0617 [4 per cell]
Zn 0.0000 0.0000 0.0000 [2 per cell]
Zn 0.1699 0.3399 0.7500 [6 per cell]

Entry from the Open Quantum Materials Database: Cu5Ag4 after structural relaxation (PBE).

Summary:
Energy above the lowest structure with this stoichiometry, meV/atom: 57
Formation enthalpy at 0 K, eV per atom: 0.0976

Cell lengths 2.770, 3.763, 24.997 Å; angles 90.00, 90.00, 90.00 degrees
Space group Imm2 (No. 44)
Inequivalent atoms, fractional coordinates:
Cu 0.000 0.000 0.000 [2 per cell]
Cu 0.000 0.000 0.112 [2 per cell]
Cu 0.000 0.000 0.323 [2 per cell]
Cu 0.000 0.000 0.662 [2 per cell]
Cu 0.000 0.000 0.773 [2 per cell]
Ag 0.000 0.000 0.217 [2 per cell]
Ag 0.000 0.000 0.443 [2 per cell]
Ag 0.000 0.000 0.556 [2 per cell]
Ag 0.000 0.000 0.879 [2 per cell]

Entry from the Open Quantum Materials Database: Hf2Os2O5 after structural relaxation (PBE).

Summary:
Energy above the lowest structure with this stoichiometry, meV/atom: 0

Cell lengths 3.463, 3.463, 8.887 Å; angles 90.00, 90.00, 90.00 degrees
Space group P4/mmm (No. 123)
Inequivalent atoms, fractional coordinates:
Hf 0.000 0.000 0.227 [2 per cell]
Os 0.500 0.500 0.000 [1 per cell]
Os 0.500 0.500 0.500 [1 per cell]
O 0.000 0.000 0.000 [1 per cell]
O 0.000 0.500 0.363 [4 per cell]

Entry from the Open Quantum Materials Database: Y2Zr3Zn2 after structural relaxation (PBE).

Summary:
Formation enthalpy at 0 K, eV per atom: -0.1625

Cell lengths 4.9945, 4.9945, 22.2568 Å; angles 90.00, 90.00, 120.00 degrees
Space group R3m (No. 160, hexagonal axes)
Inequivalent atoms, fractional coordinates:
Y 0.0000 0.0000 0.0000 [3 per cell]
Y 0.0000 0.0000 0.4318 [3 per cell]
Zr 0.0000 0.0000 0.2587 [3 per cell]
Zr 0.0000 0.0000 0.5867 [3 per cell]
Zr 0.0000 0.0000 0.8533 [3 per cell]
Zn 0.0000 0.0000 0.1339 [3 per cell]
Zn 0.0000 0.0000 0.7201 [3 per cell]

Entry from the Open Quantum Materials Database: Zr4Pb3W2C3 after structural relaxation (PBE).

Summary:
DFT total energy, eV for the cell shown: -410.26

Cell lengths 10.123, 5.860, 14.756 Å; angles 90.00, 103.15, 90.00 degrees
Space group C2/c (No. 15)
Inequivalent atoms, fractional coordinates:
Zr 0.111 0.077 0.085 [8 per cell]
Zr 0.218 0.086 0.415 [8 per cell]
Pb 0.000 0.103 0.750 [4 per cell]
Pb 0.159 0.424 0.249 [8 per cell]
W 0.066 0.411 0.932 [8 per cell]
C 0.080 0.261 0.500 [8 per cell]
C 0.250 0.250 0.000 [4 per cell]

Entry from the Open Quantum Materials Database: PmCoBi after structural relaxation (PBE).

Summary:
Energy above the lowest structure with this stoichiometry, meV/atom: 864

Cell lengths 6.999, 6.999, 6.999 Å; angles 90.00, 90.00, 90.00 degrees
Space group F-43m (No. 216)
Inequivalent atoms, fractional coordinates:
Pm 0.000 0.000 0.000 [4 per cell]
Co 0.250 0.250 0.250 [4 per cell]
Bi 0.250 0.250 0.750 [4 per cell]

Entry from the Open Quantum Materials Database: Y2Cd2Si3 after structural relaxation (PBE).

Summary:
DFT total energy, eV for the cell shown: -96.16

Cell lengths 4.5396, 4.5396, 26.3488 Å; angles 90.00, 90.00, 120.00 degrees
Space group R3m (No. 160, hexagonal axes)
Inequivalent atoms, fractional coordinates:
Y 0.0000 0.0000 0.0000 [3 per cell]
Y 0.0000 0.0000 0.4985 [3 per cell]
Cd 0.0000 0.0000 0.2458 [3 per cell]
Cd 0.0000 0.0000 0.7518 [3 per cell]
Si 0.0000 0.0000 0.3911 [3 per cell]
Si 0.0000 0.0000 0.6174 [3 per cell]
Si 0.0000 0.0000 0.8659 [3 per cell]

Entry from the Open Quantum Materials Database: Pr2GePb after structural relaxation (PBE).

Summary:
DFT total energy, eV for the cell shown: -41.07

Cell lengths 4.313, 4.656, 11.667 Å; angles 90.00, 90.00, 90.00 degrees
Space group Amm2 (No. 38)
Inequivalent atoms, fractional coordinates:
Pr 0.000 0.000 0.000 [2 per cell]
Pr 0.500 0.000 0.275 [2 per cell]
Ge 0.000 0.000 0.734 [2 per cell]
Pb 0.500 0.000 0.557 [2 per cell]

Entry from the Open Quantum Materials Database: HoSnPO after structural relaxation (PBE).

Summary:
Energy above the lowest structure with this stoichiometry, meV/atom: 315

Cell lengths 5.397, 5.397, 5.178 Å; angles 90.00, 90.00, 90.00 degrees
Space group P4/nmm (No. 129, origin choice 2)
Inequivalent atoms, fractional coordinates:
Ho 0.250 0.750 0.000 [2 per cell]
Sn 0.250 0.250 0.490 [2 per cell]
P 0.250 0.250 0.986 [2 per cell]
O 0.250 0.750 0.500 [2 per cell]

Entry from the Open Quantum Materials Database: SmAs after structural relaxation (PBE).

Summary:
DFT total energy, eV for the cell shown: -124.25

Cell lengths 9.415, 9.415, 5.954 Å; angles 90.00, 90.00, 90.00 degrees
Space group I4/m (No. 87)
Inequivalent atoms, fractional coordinates:
Sm 0.000 0.000 0.000 [2 per cell]
Sm 0.100 0.700 0.500 [8 per cell]
As 0.000 0.000 0.500 [2 per cell]
As 0.100 0.700 0.000 [8 per cell]

Entry from the Open Quantum Materials Database: Nb2TeHC after structural relaxation (PBE).

Summary:
DFT total energy, eV for the cell shown: -37.82

Cell lengths 3.3484, 3.3484, 7.2570 Å; angles 90.00, 90.00, 120.00 degrees
Space group P3m1 (No. 156)
Inequivalent atoms, fractional coordinates:
Nb 0.0000 0.0000 0.0000 [1 per cell]
Nb 0.3333 0.6667 0.3153 [1 per cell]
Te 0.0000 0.0000 0.5989 [1 per cell]
H 0.3333 0.6667 0.8955 [1 per cell]
C 0.6667 0.3333 0.1589 [1 per cell]

Entry from the Open Quantum Materials Database: TbEr2Cu4Sn2Ge2 after structural relaxation (PBE).

Summary:
Energy above the lowest structure with this stoichiometry, meV/atom: 0

Cell lengths 4.326, 6.704, 14.438 Å; angles 90.00, 90.00, 90.00 degrees
Space group Immm (No. 71)
Inequivalent atoms, fractional coordinates:
Tb 0.000 0.000 0.000 [2 per cell]
Er 0.000 0.500 0.125 [4 per cell]
Cu 0.000 0.310 0.341 [8 per cell]
Sn 0.000 0.000 0.219 [4 per cell]
Ge 0.000 0.190 0.500 [4 per cell]

Entry from the Open Quantum Materials Database: PtPbO3 after structural relaxation (PBE).

Summary:
DFT total energy, eV for the cell shown: -27.27

Cell lengths 3.965, 3.965, 4.253 Å; angles 90.00, 90.00, 90.00 degrees
Space group P4mm (No. 99)
Inequivalent atoms, fractional coordinates:
Pt 0.000 0.000 0.000 [1 per cell]
Pb 0.500 0.500 0.457 [1 per cell]
O 0.000 0.000 0.525 [1 per cell]
O 0.000 0.500 0.090 [2 per cell]

Entry from the Open Quantum Materials Database: K2FeSbCl6 after structural relaxation (PBE).

Summary:
DFT total energy, eV for the cell shown: -146.40

Cell lengths 10.297, 10.297, 10.297 Å; angles 90.00, 90.00, 90.00 degrees
Space group Fm-3m (No. 225)
Inequivalent atoms, fractional coordinates:
K 0.250 0.250 0.250 [8 per cell]
Fe 0.000 0.000 0.000 [4 per cell]
Sb 0.000 0.000 0.500 [4 per cell]
Cl 0.000 0.000 0.237 [24 per cell]

Entry from the Open Quantum Materials Database: DyP after structural relaxation (PBE).

Summary:
DFT total energy, eV for the cell shown: -12.58

Cell lengths 3.9035, 3.9035, 3.5620 Å; angles 90.00, 90.00, 120.00 degrees
Space group P-6m2 (No. 187)
Inequivalent atoms, fractional coordinates:
Dy 0.0000 0.0000 0.0000 [1 per cell]
P 0.6667 0.3333 0.5000 [1 per cell]

Entry from the Open Quantum Materials Database: Zr2GePd after structural relaxation (PBE).

Summary:
DFT total energy, eV for the cell shown: -109.73

Cell lengths 6.735, 6.735, 6.735 Å; angles 90.00, 90.00, 90.00 degrees
Space group F-43m (No. 216)
Inequivalent atoms, fractional coordinates:
Zr 0.000 0.000 0.000 [4 per cell]
Zr 0.250 0.250 0.250 [4 per cell]
Ge 0.000 0.000 0.500 [4 per cell]
Pd 0.250 0.250 0.750 [4 per cell]

Entry from the Open Quantum Materials Database: Tm3Mg3Hg2Pd after structural relaxation (PBE).

Summary:
DFT total energy, eV for the cell shown: -28.15

Cell lengths 7.6265, 7.6265, 4.1329 Å; angles 90.00, 90.00, 120.00 degrees
Space group P-62m (No. 189)
Inequivalent atoms, fractional coordinates:
Tm 0.0000 0.5989 0.0000 [3 per cell]
Mg 0.0000 0.2398 0.5000 [3 per cell]
Hg 0.3333 0.6667 0.5000 [2 per cell]
Pd 0.0000 0.0000 0.0000 [1 per cell]

Entry from the Open Quantum Materials Database: ZnCdNi2Sb4 after structural relaxation (PBE).

Summary:
DFT total energy, eV for the cell shown: -57.47

Cell lengths 6.011, 6.011, 12.013 Å; angles 90.00, 90.00, 90.00 degrees
Space group I-4 (No. 82)
Inequivalent atoms, fractional coordinates:
Zn 0.000 0.000 0.000 [2 per cell]
Cd 0.000 0.500 0.250 [2 per cell]
Ni 0.000 0.000 0.500 [2 per cell]
Ni 0.000 0.500 0.750 [2 per cell]
Sb 0.196 0.269 0.615 [8 per cell]

Entry from the Open Quantum Materials Database: Nb2TlZn after structural relaxation (PBE).

Summary:
DFT total energy, eV for the cell shown: -86.86

Cell lengths 6.715, 6.715, 6.715 Å; angles 90.00, 90.00, 90.00 degrees
Space group F-43m (No. 216)
Inequivalent atoms, fractional coordinates:
Nb 0.000 0.000 0.000 [4 per cell]
Nb 0.250 0.250 0.250 [4 per cell]
Tl 0.000 0.000 0.500 [4 per cell]
Zn 0.250 0.250 0.750 [4 per cell]

Entry from the Open Quantum Materials Database: Zn4CuSb2 after structural relaxation (PBE).

Summary:
DFT total energy, eV for the cell shown: -16.01

Cell lengths 5.691, 5.691, 4.142 Å; angles 90.00, 90.00, 90.00 degrees
Space group P-42m (No. 111)
Inequivalent atoms, fractional coordinates:
Zn 0.240 0.240 0.002 [4 per cell]
Cu 0.500 0.500 0.500 [1 per cell]
Sb 0.000 0.500 0.500 [2 per cell]

Entry from the Open Quantum Materials Database: PrCuPdPb2 after structural relaxation (PBE).

Summary:
DFT total energy, eV for the cell shown: -45.48

Cell lengths 4.592, 4.592, 11.349 Å; angles 90.00, 90.00, 90.00 degrees
Space group P4/nmm (No. 129, origin choice 2)
Inequivalent atoms, fractional coordinates:
Pr 0.250 0.250 0.235 [2 per cell]
Cu 0.250 0.750 0.000 [2 per cell]
Pd 0.250 0.250 0.643 [2 per cell]
Pb 0.250 0.250 0.878 [2 per cell]
Pb 0.250 0.750 0.500 [2 per cell]

Entry from the Open Quantum Materials Database: ZrBi after structural relaxation (PBE).

Summary:
DFT total energy, eV for the cell shown: -51.57

Cell lengths 5.925, 4.895, 7.853 Å; angles 90.00, 90.00, 90.00 degrees
Space group Pmma (No. 51)
Inequivalent atoms, fractional coordinates:
Zr 0.000 0.000 0.000 [2 per cell]
Zr 0.250 0.500 0.165 [2 per cell]
Bi 0.250 0.000 0.371 [2 per cell]
Bi 0.250 0.500 0.772 [2 per cell]

Entry from the Open Quantum Materials Database: YCuTe2PbSe after structural relaxation (PBE).

Summary:
DFT total energy, eV for the cell shown: -114.19

Cell lengths 4.228, 14.528, 10.630 Å; angles 90.00, 90.00, 90.00 degrees
Space group Cmcm (No. 63)
Inequivalent atoms, fractional coordinates:
Y 0.000 0.000 0.000 [4 per cell]
Cu 0.000 0.473 0.250 [4 per cell]
Te 0.000 0.353 0.063 [8 per cell]
Pb 0.000 0.259 0.750 [4 per cell]
Se 0.000 0.071 0.250 [4 per cell]

Entry from the Open Quantum Materials Database: GeOsW2 after structural relaxation (PBE).

Summary:
DFT total energy, eV for the cell shown: -161.55

Cell lengths 6.261, 6.261, 6.261 Å; angles 90.00, 90.00, 90.00 degrees
Space group F-43m (No. 216)
Inequivalent atoms, fractional coordinates:
Ge 0.000 0.000 0.000 [4 per cell]
Os 0.250 0.250 0.250 [4 per cell]
W 0.000 0.000 0.500 [4 per cell]
W 0.250 0.250 0.750 [4 per cell]